Entry 1:
## KCrMo2 (PBE)

Data for an optimized crystal structure of KCrMo2.

The density of states at the Fermi level comes out at 4.198 states/eV/cell. The calculation puts the total energy at -6.49 eV per atom. For the energy above the most stable polymorph in this dataset, the calculation gives 799 meV/atom.

It has space group P4/mmm (No. 123), with a = 3.831 Å, b = 3.831 Å, c = 5.172 Å, α = 90.00°, β = 90.00° and γ = 90.00°. Symmetry generates all atoms from K at (0.000, 0.000, 0.000), Cr at (0.500, 0.500, 0.000) and Mo at (0.000, 0.500, 0.500).

---

Entry 2:
## Cs2PuScO6 (PBE)

Data for an optimized crystal structure of Cs2PuScO6.

The calculation puts the total energy at -7.57 eV per atom. As for the uncorrected formation energy: -227.9 kJ per mole of atoms.

It has space group Fm-3m (No. 225), with a = 8.594 Å, b = 8.594 Å, c = 8.594 Å, α = 90.00°, β = 90.00° and γ = 90.00°. Symmetry generates all atoms from Cs at (0.250, 0.250, 0.250), Pu at (0.000, 0.000, 0.000), Sc at (0.000, 0.000, 0.500) and O at (0.000, 0.000, 0.240).

---

Entry 3:
## CeBiCl6 (PBE)

Data for an optimized crystal structure of CeBiCl6.

The density of states at the Fermi level comes out at 15.355 states/eV/cell. The calculation puts the total energy at -4.18 eV per atom. As for the uncorrected formation energy: -150.9 kJ per mole of atoms.

It has space group C2/m (No. 12), with a = 6.892 Å, b = 12.349 Å, c = 6.885 Å, α = 90.00°, β = 105.65° and γ = 90.00°. Symmetry generates all atoms from Ce at (0.000, 0.000, 0.000), Bi at (0.000, 0.500, 0.500), Cl at (0.245, 0.353, 0.748) and Cl at (0.249, 0.000, 0.746).

---

Entry 4:
## LaSmDyY3 (PBE)

Data for an optimized crystal structure of LaSmDyY3.

The density of states at the Fermi level comes out at 38.094 states/eV/cell. The calculation puts the total energy at -5.58 eV per atom.

It has space group Cmcm (No. 63), with a = 5.103 Å, b = 15.318 Å, c = 10.205 Å, α = 90.00°, β = 90.00° and γ = 90.00°. Symmetry generates all atoms from La at (0.000, 0.001, 0.250), Sm at (0.000, 0.500, 0.000), Dy at (0.000, 0.331, 0.750), Y at (0.000, 0.168, 0.000) and Y at (0.000, 0.331, 0.250).

---

Entry 5:
## PaAl3Cu3 (PBE)

Data for an optimized crystal structure of PaAl3Cu3.

The density of states at the Fermi level comes out at 7.348 states/eV/cell. The calculation puts the total energy at -4.72 eV per atom.

It has space group P6_3/m (No. 176), with a = 7.6683 Å, b = 7.6683 Å, c = 4.7064 Å, α = 90.00°, β = 90.00° and γ = 120.00°. Symmetry generates all atoms from Pa at (0.3333, 0.6667, 0.2500), Al at (0.1210, 0.2440, 0.7500) and Cu at (0.0950, 0.5480, 0.7500).

---

Entry 6:
## Nb4SnS8 (PBE)

Data for an optimized crystal structure of Nb4SnS8.

The density of states at the Fermi level comes out at 41.853 states/eV/cell. The calculation puts the total energy at -6.85 eV per atom. For the energy above the most stable polymorph in this dataset, the calculation gives 23 meV/atom. As for the uncorrected formation energy: -87.6 kJ per mole of atoms.

It has space group F-43m (No. 216), with a = 10.267 Å, b = 10.267 Å, c = 10.267 Å, α = 90.00°, β = 90.00° and γ = 90.00°. Symmetry generates all atoms from Nb at (0.104, 0.104, 0.104), Sn at (0.000, 0.000, 0.500), S at (0.130, 0.130, 0.870) and S at (0.141, 0.141, 0.359).

---

Entry 7:
## KMnIr4 (PBE)

Data for an optimized crystal structure of KMnIr4.

The density of states at the Fermi level comes out at 40.135 states/eV/cell. The calculation puts the total energy at -7.10 eV per atom.

It has space group F-43m (No. 216), with a = 7.510 Å, b = 7.510 Å, c = 7.510 Å, α = 90.00°, β = 90.00° and γ = 90.00°. Symmetry generates all atoms from K at (0.000, 0.000, 0.000), Mn at (0.250, 0.250, 0.750) and Ir at (0.125, 0.125, 0.375).

---

Entry 8:
## K2CoCuAg (PBE)

Data for an optimized crystal structure of K2CoCuAg.

The density of states at the Fermi level comes out at 6.237 states/eV/cell. The calculation puts the total energy at -2.47 eV per atom.

It has space group P4/mmm (No. 123), with a = 6.209 Å, b = 6.209 Å, c = 4.531 Å, α = 90.00°, β = 90.00° and γ = 90.00°. Symmetry generates all atoms from K at (0.000, 0.500, 0.000), Co at (0.000, 0.000, 0.000), Cu at (0.000, 0.000, 0.500) and Ag at (0.500, 0.500, 0.500).

---

Entry 9:
## PPt3 (PBE)

Data for an optimized crystal structure of PPt3.

The density of states at the Fermi level comes out at 3.114 states/eV/cell. The calculation puts the total energy at -5.92 eV per atom. For the energy above the most stable polymorph in this dataset, the calculation gives 213 meV/atom.

It has space group P4/mmm (No. 123), with a = 2.928 Å, b = 2.928 Å, c = 7.040 Å, α = 90.00°, β = 90.00° and γ = 90.00°. Symmetry generates all atoms from P at (0.000, 0.000, 0.000), Pt at (0.000, 0.000, 0.500) and Pt at (0.500, 0.500, 0.218).

---

Entry 10:
## InSb12Pd4 (PBE)

Data for an optimized crystal structure of InSb12Pd4.

The density of states at the Fermi level comes out at 18.742 states/eV/cell. The calculation puts the total energy at -4.52 eV per atom. As for the uncorrected formation energy: -22.3 kJ per mole of atoms.

It has space group Im-3 (No. 204), with a = 9.602 Å, b = 9.602 Å, c = 9.602 Å, α = 90.00°, β = 90.00° and γ = 90.00°. Symmetry generates all atoms from In at (0.000, 0.000, 0.000), Sb at (0.000, 0.343, 0.154) and Pd at (0.250, 0.250, 0.250).

---

Entry 11:
## PuPaGaOs (PBE)

Data for an optimized crystal structure of PuPaGaOs.

The density of states at the Fermi level comes out at 20.866 states/eV/cell. The calculation puts the total energy at -9.79 eV per atom. For the energy above the most stable polymorph in this dataset, the calculation gives 0 meV/atom.

It has space group Amm2 (No. 38), with a = 3.792 Å, b = 4.093 Å, c = 11.548 Å, α = 90.00°, β = 90.00° and γ = 90.00°. Symmetry generates all atoms from Pu at (0.000, 0.000, 0.000), Pa at (0.500, 0.000, 0.283), Ga at (0.500, 0.000, 0.584) and Os at (0.000, 0.000, 0.749).

---

Entry 12:
## Mn2SbAu (PBE)

Data for an optimized crystal structure of Mn2SbAu.

The density of states at the Fermi level comes out at 18.268 states/eV/cell. The calculation puts the total energy at -5.82 eV per atom. As for the uncorrected formation energy: 59.5 kJ per mole of atoms.

It has space group I-42d (No. 122), with a = 5.856 Å, b = 5.856 Å, c = 13.015 Å, α = 90.00°, β = 90.00° and γ = 90.00°. Symmetry generates all atoms from Mn at (0.240, 0.250, 0.125), Sb at (0.000, 0.000, 0.500) and Au at (0.000, 0.000, 0.000).